[1]
The following is a DFT calculation (PBE-GGA) of a relaxed structure of Ce3Sm2PuAs6.

Unit cell a=7.286 b=12.619 c=7.276 alpha=90.00 beta=109.49 gamma=90.00
Space group C2/m (No. 12)
One atom of each set of equivalent atoms:
Ce  0.000  0.000  0.000 [2 per cell]
Ce  0.000  0.333  0.000 [4 per cell]
Sm  0.000  0.166  0.500 [4 per cell]
Pu  0.000  0.500  0.500 [2 per cell]
As  0.246  0.500  0.249 [4 per cell]
As  0.249  0.335  0.751 [8 per cell]

Computed properties:
**Theoretical density**: 7.45 g/cm3
**E_form**: -1.394 eV per atom
**E_tot**: -172.405 eV per cell

=====

[2]
The following is a DFT calculation (PBE-GGA) of a relaxed structure of CeSm2PuAs4.

Unit cell a=7.264 b=4.198 c=7.273 alpha=90.00 beta=109.53 gamma=90.00
Space group P2/m (No. 10)
One atom of each set of equivalent atoms:
Ce  0.000  0.000  0.000 [1 per cell]
Sm  0.000  0.500  0.500 [1 per cell]
Sm  0.500  0.000  0.500 [1 per cell]
Pu  0.500  0.500  0.000 [1 per cell]
As  0.250  0.500  0.246 [2 per cell]
As  0.254  0.000  0.756 [2 per cell]

Computed properties:
**Theoretical density**: 7.82 g/cm3
**E_form**: -1.378 eV per atom
**E_tot**: -59.330 eV per cell

=====

[3]
The following is a DFT calculation (PBE-GGA) of a relaxed structure of Sr3Ce2PuAs6.

Unit cell a=7.485 b=12.963 c=7.528 alpha=90.00 beta=109.35 gamma=90.00
Space group C2/m (No. 12)
One atom of each set of equivalent atoms:
Sr  0.000  0.000  0.000 [2 per cell]
Sr  0.000  0.333  0.000 [4 per cell]
Ce  0.000  0.167  0.500 [4 per cell]
Pu  0.000  0.500  0.500 [2 per cell]
As  0.238  0.335  0.718 [8 per cell]
As  0.242  0.000  0.718 [4 per cell]

Computed properties:
**Theoretical density**: 5.96 g/cm3
**E_form**: -1.196 eV per atom
**E_tot**: -146.985 eV per cell

=====

[4]
The following is a DFT calculation (PBE-GGA) of a relaxed structure of SrCe2PuAs4.

Unit cell a=7.361 b=4.262 c=7.398 alpha=90.00 beta=109.50 gamma=90.00
Space group P2/m (No. 10)
One atom of each set of equivalent atoms:
Sr  0.000  0.000  0.000 [1 per cell]
Ce  0.500  0.000  0.500 [1 per cell]
Ce  0.500  0.500  0.000 [1 per cell]
Pu  0.000  0.500  0.500 [1 per cell]
As  0.256  0.000  0.741 [2 per cell]
As  0.267  0.500  0.266 [2 per cell]

Computed properties:
**Theoretical density**: 6.92 g/cm3
**E_form**: -1.232 eV per atom
**E_tot**: -56.335 eV per cell

=====

[5]
The following is a DFT calculation (PBE-GGA) of a relaxed structure of TbCe2Pu3As6.

Unit cell a=18.135 b=4.176 c=8.314 alpha=90.00 beta=102.92 gamma=90.00
Space group C2/m (No. 12)
One atom of each set of equivalent atoms:
Tb  0.000  0.000  0.000 [2 per cell]
Ce  0.166  0.500  0.332 [4 per cell]
Pu  0.000  0.000  0.500 [2 per cell]
Pu  0.167  0.500  0.834 [4 per cell]
As  0.001  0.500  0.749 [4 per cell]
As  0.166  0.000  0.586 [4 per cell]
As  0.167  0.000  0.080 [4 per cell]

Computed properties:
**Theoretical density**: 8.77 g/cm3
**E_form**: -1.249 eV per atom
**E_tot**: -204.768 eV per cell

=====

[6]
The following is a DFT calculation (PBE-GGA) of a relaxed structure of TbCe2PuAs4.

Unit cell a=7.221 b=4.184 c=7.244 alpha=90.00 beta=109.57 gamma=90.00
Space group P2/m (No. 10)
One atom of each set of equivalent atoms:
Tb  0.000  0.000  0.000 [1 per cell]
Ce  0.500  0.000  0.500 [1 per cell]
Ce  0.500  0.500  0.000 [1 per cell]
Pu  0.000  0.500  0.500 [1 per cell]
As  0.246  0.000  0.748 [2 per cell]
As  0.247  0.500  0.249 [2 per cell]

Computed properties:
**Theoretical density**: 7.91 g/cm3
**E_form**: -1.357 eV per atom
**E_tot**: -60.283 eV per cell

=====

[7]
The following is a DFT calculation (PBE-GGA) of a relaxed structure of TbCePu2As4.

Unit cell a=7.184 b=4.163 c=7.211 alpha=90.00 beta=109.62 gamma=90.00
Space group P2/m (No. 10)
One atom of each set of equivalent atoms:
Tb  0.000  0.000  0.000 [1 per cell]
Ce  0.000  0.500  0.500 [1 per cell]
Pu  0.500  0.000  0.500 [1 per cell]
Pu  0.500  0.500  0.000 [1 per cell]
As  0.252  0.000  0.752 [2 per cell]
As  0.252  0.500  0.251 [2 per cell]

Computed properties:
**Theoretical density**: 8.88 g/cm3
**E_form**: -1.230 eV per atom
**E_tot**: -67.664 eV per cell

=====

[8]
The following is a DFT calculation (PBE-GGA) of a relaxed structure of CePuTeAs.

Unit cell a=4.3190 b=4.3190 c=21.3404 alpha=90.00 beta=90.00 gamma=120.00
Space group R3m (No. 160, hexagonal axes)
One atom of each set of equivalent atoms:
Ce  0.0000  0.0000  0.0000 [3 per cell]
Pu  0.0000  0.0000  0.5169 [3 per cell]
Te  0.0000  0.0000  0.7606 [3 per cell]
As  0.0000  0.0000  0.2575 [3 per cell]

Computed properties:
**Theoretical density**: 8.48 g/cm3
**Energy relative to the elements, uncorrected**: -5.05 eV/f.u.
**E_tot**: -99.330 eV per cell